A relaxed CsB2W2 crystal. Source: Alexandria via LeMat-Bulk, functional GGA-PBE.

Output
E_tot   -66.88 eV for the cell shown
Formation enthalpy at 0 K   1.34 eV per atom
Energy above the most stable polymorph in this dataset   0.931 eV/atom
Symmetry   P4/mbm, No. 127
DOS(E_F)   3.20 states/eV/cell

Structure (POSCAR):
```
CsB2W2
1.0
7.520 0.000 0.000
0.000 7.520 0.000
0.000 0.000 2.986
Cs B W
2 4 4
direct
0.000 0.000 0.000 Cs
0.500 0.500 0.000 Cs
0.116 0.384 0.500 B
0.384 0.884 0.500 B
0.616 0.116 0.500 B
0.884 0.616 0.500 B
0.117 0.617 0.000 W
0.383 0.117 0.000 W
0.617 0.883 0.000 W
0.883 0.383 0.000 W
```

---

A relaxed Cs2BW crystal. Source: Alexandria via LeMat-Bulk, functional GGA-PBE.

Output
E_tot   -21.45 eV for the cell shown
Formation enthalpy at 0 K   2.65 eV per atom
Energy above the most stable polymorph in this dataset   0.118 eV/atom
Symmetry   I-42d, No. 122
DOS(E_F)   2.26 states/eV/cell

Structure (POSCAR):
```
Cs2BW
1.0
-2.290 2.290 11.958
2.290 -2.290 11.958
2.290 2.290 -11.958
Cs B W
4 2 2
direct
0.123 0.625 0.998 Cs
0.375 0.373 0.498 Cs
0.627 0.125 0.002 Cs
0.875 0.877 0.502 Cs
0.000 0.000 0.000 B
0.750 0.250 0.500 B
0.250 0.750 0.500 W
0.500 0.500 0.000 W
```

---

A relaxed Cs2BW crystal. Source: Alexandria via LeMat-Bulk, functional GGA-PBE.

Output
E_tot   -11.20 eV for the cell shown
Formation enthalpy at 0 K   2.54 eV per atom
Energy above the most stable polymorph in this dataset   0.000 eV/atom
Symmetry   Fm-3m, No. 225
DOS(E_F)   1.93 states/eV/cell

Structure (POSCAR):
```
Cs2BW
1.0
0.000 4.272 4.272
4.272 0.000 4.272
4.272 4.272 0.000
Cs B W
2 1 1
direct
0.250 0.250 0.250 Cs
0.750 0.750 0.750 Cs
0.000 0.000 0.000 B
0.500 0.500 0.500 W
```

---

A relaxed CsBW3 crystal. Source: Alexandria via LeMat-Bulk, functional GGA-PBE.

Output
E_tot   -21.95 eV for the cell shown
Formation enthalpy at 0 K   4.89 eV per atom
Energy above the most stable polymorph in this dataset   3.050 eV/atom
Symmetry   Pm-3m, No. 221
DOS(E_F)   8.66 states/eV/cell

Structure (POSCAR):
```
CsBW3
1.0
4.935 0.000 0.000
0.000 4.935 0.000
0.000 0.000 4.935
Cs B W
1 1 3
direct
0.000 0.000 0.000 Cs
0.500 0.500 0.500 B
0.000 0.000 0.500 W
0.000 0.500 0.000 W
0.500 0.000 0.000 W
```